## LaEuBi (GGA-PBE)

Data for a relaxed LaEuBi crystal.

The formation energy is -0.4379 eV/atom. The relative energy among the computed polymorphs is 161 meV/atom.

The space group is P3m1 (No. 156) and the conventional cell measures 5.3113, 5.3113 and 4.3332 Å, with angles of 90.00, 90.00 and 120.00 degrees. The inequivalent atoms are La at (0.0000, 0.0000, 0.0000), Eu at (0.3333, 0.6667, 0.4327) and Bi at (0.6667, 0.3333, 0.6650).

## La2EuBi (GGA-PBE)

Data for a relaxed La2EuBi crystal.

The formation energy is -0.4349 eV/atom. The relative energy among the computed polymorphs is 36 meV/atom.

The space group is P4/mmm (No. 123) and the conventional cell measures 4.3668, 4.3668 and 7.3708 Å, with angles of 90.00, 90.00 and 90.00 degrees. The inequivalent atoms are La at (0.0000, 0.0000, 0.2222), Eu at (0.5000, 0.5000, 0.5000) and Bi at (0.5000, 0.5000, 0.0000).

## LaEuBiPd (GGA-PBE)

Data for a relaxed LaEuBiPd crystal.

The formation energy is -0.7452 eV/atom.

The space group is F-43m (No. 216) and the conventional cell measures 7.7315, 7.7315 and 7.7315 Å, with angles of 90.00, 90.00 and 90.00 degrees. The inequivalent atoms are La at (0.0000, 0.0000, 0.0000), Eu at (0.0000, 0.0000, 0.5000), Bi at (0.2500, 0.2500, 0.7500) and Pd at (0.2500, 0.2500, 0.2500).

## LaEuBiPt (GGA-PBE)

Data for a relaxed LaEuBiPt crystal.

The formation energy is -0.8560 eV/atom.

The space group is F-43m (No. 216) and the conventional cell measures 7.6858, 7.6858 and 7.6858 Å, with angles of 90.00, 90.00 and 90.00 degrees. The inequivalent atoms are La at (0.0000, 0.0000, 0.0000), Eu at (0.0000, 0.0000, 0.5000), Bi at (0.2500, 0.2500, 0.2500) and Pt at (0.2500, 0.2500, 0.7500).

## LaEuBiSb (GGA-PBE)

Data for a relaxed LaEuBiSb crystal.

For the uncorrected energy, the calculation gives -6.66 eV/atom.

The space group is F-43m (No. 216) and the conventional cell measures 8.0053, 8.0053 and 8.0053 Å, with angles of 90.00, 90.00 and 90.00 degrees. The inequivalent atoms are La at (0.0000, 0.0000, 0.0000), Eu at (0.0000, 0.0000, 0.5000), Bi at (0.2500, 0.2500, 0.7500) and Sb at (0.2500, 0.2500, 0.2500).

## LaEuSnBi (GGA-PBE)

Data for a relaxed LaEuSnBi crystal.

The formation energy is -0.6675 eV/atom.

The space group is F-43m (No. 216) and the conventional cell measures 8.0068, 8.0068 and 8.0068 Å, with angles of 90.00, 90.00 and 90.00 degrees. The inequivalent atoms are La at (0.0000, 0.0000, 0.0000), Eu at (0.0000, 0.0000, 0.5000), Sn at (0.2500, 0.2500, 0.7500) and Bi at (0.2500, 0.2500, 0.2500).

## LiEu2Bi (GGA-PBE)

Data for a relaxed LiEu2Bi crystal.

The formation energy is -0.4810 eV/atom. The relative energy among the computed polymorphs is 31 meV/atom.

The space group is Fm-3m (No. 225) and the conventional cell measures 7.9284, 7.9284 and 7.9284 Å, with angles of 90.00, 90.00 and 90.00 degrees. The inequivalent atoms are Li at (0.0000, 0.0000, 0.0000), Eu at (0.2500, 0.2500, 0.2500) and Bi at (0.0000, 0.0000, 0.5000).

## LiEu2Bi (GGA-PBE)

Data for a relaxed LiEu2Bi crystal.

The formation energy is -0.5121 eV/atom. The relative energy among the computed polymorphs is 0 meV/atom.

The space group is P4/mmm (No. 123) and the conventional cell measures 5.2310, 5.2310 and 4.5558 Å, with angles of 90.00, 90.00 and 90.00 degrees. The inequivalent atoms are Li at (0.0000, 0.0000, 0.0000), Eu at (0.0000, 0.5000, 0.5000) and Bi at (0.5000, 0.5000, 0.0000).

## LiNdEuBi (GGA-PBE)

Data for a relaxed LiNdEuBi crystal.

The formation energy is -0.4057 eV/atom.

The space group is F-43m (No. 216) and the conventional cell measures 7.8136, 7.8136 and 7.8136 Å, with angles of 90.00, 90.00 and 90.00 degrees. The inequivalent atoms are Li at (0.0000, 0.0000, 0.0000), Nd at (0.2500, 0.2500, 0.2500), Eu at (0.2500, 0.2500, 0.7500) and Bi at (0.0000, 0.0000, 0.5000).

## LiPmEuBi (GGA-PBE)

Data for a relaxed LiPmEuBi crystal.

The formation energy is -0.3981 eV/atom.

The space group is F-43m (No. 216) and the conventional cell measures 7.7851, 7.7851 and 7.7851 Å, with angles of 90.00, 90.00 and 90.00 degrees. The inequivalent atoms are Li at (0.0000, 0.0000, 0.0000), Pm at (0.2500, 0.2500, 0.2500), Eu at (0.2500, 0.2500, 0.7500) and Bi at (0.0000, 0.0000, 0.5000).

## LiPrEuBi (GGA-PBE)

Data for a relaxed LiPrEuBi crystal.

The formation energy is -0.4133 eV/atom.

The space group is F-43m (No. 216) and the conventional cell measures 7.8425, 7.8425 and 7.8425 Å, with angles of 90.00, 90.00 and 90.00 degrees. The inequivalent atoms are Li at (0.0000, 0.0000, 0.0000), Pr at (0.2500, 0.2500, 0.2500), Eu at (0.2500, 0.2500, 0.7500) and Bi at (0.0000, 0.0000, 0.5000).

## LiEuBiRh (GGA-PBE)

Data for a relaxed LiEuBiRh crystal.

The formation energy is -0.4632 eV/atom.

The space group is F-43m (No. 216) and the conventional cell measures 6.9429, 6.9429 and 6.9429 Å, with angles of 90.00, 90.00 and 90.00 degrees. The inequivalent atoms are Li at (0.0000, 0.0000, 0.0000), Eu at (0.2500, 0.2500, 0.7500), Bi at (0.2500, 0.2500, 0.2500) and Rh at (0.0000, 0.0000, 0.5000).